# 1
Li2Mg2Ga2FeCu | PBE-GGA | relaxed

Unit cell a=4.3049 b=4.3049 c=6.2440 alpha=90.00 beta=90.00 gamma=90.00
With the nearest neighbours (Å) after each atom.
Atoms (fractional coordinates):
Mg1 0.5000 0.0000 0.2469  4 Li 2.65-2.67, 2 Cu 2.65, 2 Fe 2.67
Ga1 0.5000 0.0000 0.7380  2 Fe 2.62, 4 Li 2.62-2.70, 2 Cu 2.70
Ga2 0.0000 0.5000 0.2620  2 Fe 2.62, 4 Li 2.62-2.70, 2 Cu 2.70
Mg2 0.0000 0.5000 0.7531  4 Li 2.65-2.67, 2 Cu 2.65, 2 Fe 2.67
Li1 0.0000 0.0000 0.5000  4 Ga 2.62, 4 Mg 2.67
Fe1 0.5000 0.5000 0.5000  4 Ga 2.62, 4 Mg 2.67
Li2 0.5000 0.5000 0.0000  4 Mg 2.65, 4 Ga 2.70
Cu1 0.0000 0.0000 0.0000  4 Mg 2.65, 4 Ga 2.70

## Properties
DFT total energy: -26.2 eV per cell

# 2
Mg2Ga4FeCu | PBE-GGA | relaxed

Unit cell a=3.9325 b=7.0085 c=5.0871 alpha=90.00 beta=112.71 gamma=90.00
With the nearest neighbours (Å) after each atom.
Atoms (fractional coordinates):
Mg1 0.9324 0.5000 0.3654  3 Cu 2.68-2.81, 4 Ga 2.99
Ga1 0.6423 0.2994 0.7845  1 Fe 2.46, 2 Cu 2.52, 1 Ga 2.74
Cu1 0.2182 0.5000 0.9366  6 Ga 2.52-2.53, 3 Mg 2.68-2.81
Ga2 0.3610 0.8065 0.2222  2 Fe 2.51, 1 Cu 2.53, 2 Ga 2.71-2.74
Ga3 0.3610 0.1935 0.2222  2 Fe 2.51, 1 Cu 2.53, 2 Ga 2.71-2.74
Ga4 0.6423 0.7006 0.7845  1 Fe 2.46, 2 Cu 2.52, 1 Ga 2.74
Fe1 0.7789 0.0000 0.0575  6 Ga 2.46-2.51, 1 Mg 2.67
Mg2 0.0639 0.0000 0.6272  3 Fe 2.67-2.82, 4 Ga 2.97

## Properties
DFT total energy: -28.2 eV per cell

# 3
MgGaFeCu | PBE-GGA | relaxed

Unit cell a=4.2219 b=4.2219 c=4.2219 alpha=60.00 beta=60.00 gamma=60.00
With the nearest neighbours (Å) after each atom.
Atoms (fractional coordinates):
Ga1 0.0000 0.0000 0.0000  4 Fe 2.59, 4 Cu 2.59
Fe1 0.2500 0.2500 0.2500  4 Ga 2.59, 4 Mg 2.59
Mg1 0.5000 0.5000 0.5000  4 Cu 2.59, 4 Fe 2.59
Cu1 0.7500 0.7500 0.7500  4 Mg 2.59, 4 Ga 2.59

## Properties
ΔE to the lowest computed polymorph: 0 meV per atom
DFT total energy: -16.5 eV per cell

# 4
GaFeCuMo | PBE-GGA | relaxed

Unit cell a=4.2441 b=4.2441 c=4.2441 alpha=60.00 beta=60.00 gamma=60.00
With the nearest neighbours (Å) after each atom.
Atoms (fractional coordinates):
Mo1 0.0000 0.0000 0.0000  4 Cu 2.60, 4 Ga 2.60
Ga1 0.2500 0.2500 0.2500  4 Fe 2.60, 4 Mo 2.60
Cu1 0.7500 0.7500 0.7500  4 Fe 2.60, 4 Mo 2.60
Fe1 0.5000 0.5000 0.5000  4 Ga 2.60, 4 Cu 2.60

## Properties
ΔE to the lowest computed polymorph: 151 meV per atom
DFT total energy: -25.0 eV per cell

# 5
GaFeCuMo | PBE-GGA | relaxed

Unit cell a=4.1901 b=4.1901 c=4.1901 alpha=60.00 beta=60.00 gamma=60.00
With the nearest neighbours (Å) after each atom.
Atoms (fractional coordinates):
Fe1 0.2500 0.2500 0.2500  4 Mo 2.57, 4 Ga 2.57
Ga1 0.0000 0.0000 0.0000  4 Cu 2.57, 4 Fe 2.57
Cu1 0.7500 0.7500 0.7500  4 Ga 2.57, 4 Mo 2.57
Mo1 0.5000 0.5000 0.5000  4 Fe 2.57, 4 Cu 2.57

## Properties
ΔE to the lowest computed polymorph: 0 meV per atom
DFT total energy: -25.6 eV per cell

# 6
Ga2FeCu4Ni | PBE-GGA | relaxed

Unit cell a=4.1175 b=4.1175 c=5.8275 alpha=90.00 beta=90.00 gamma=90.00
With the nearest neighbours (Å) after each atom.
Atoms (fractional coordinates):
Cu1 0.5000 0.0000 0.2494  2 Ni 2.52, 4 Ga 2.52, 2 Fe 2.52
Ga1 0.0000 0.0000 0.0000  8 Cu 2.52
Ni1 0.5000 0.5000 0.0000  8 Cu 2.52
Ga2 0.5000 0.5000 0.5000  8 Cu 2.52
Fe1 0.0000 0.0000 0.5000  8 Cu 2.52
Cu2 0.0000 0.5000 0.7506  2 Ni 2.52, 4 Ga 2.52, 2 Fe 2.52
Cu3 0.5000 0.0000 0.7506  2 Ni 2.52, 4 Ga 2.52, 2 Fe 2.52
Cu4 0.0000 0.5000 0.2494  4 Ga 2.52, 2 Ni 2.52, 2 Fe 2.52

## Properties
DFT total energy: -35.0 eV per cell

# 7
GaFeCuOs | PBE-GGA | relaxed

Unit cell a=4.1965 b=4.1965 c=4.1965 alpha=60.00 beta=60.00 gamma=60.00
With the nearest neighbours (Å) after each atom.
Atoms (fractional coordinates):
Os1 0.2500 0.2500 0.2500  4 Cu 2.57, 4 Ga 2.57
Cu1 0.5000 0.5000 0.5000  4 Os 2.57, 4 Fe 2.57
Ga1 0.0000 0.0000 0.0000  4 Fe 2.57, 4 Os 2.57
Fe1 0.7500 0.7500 0.7500  4 Ga 2.57, 4 Cu 2.57

## Properties
ΔE to the lowest computed polymorph: 87 meV per atom
DFT total energy: -25.5 eV per cell

# 8
GaFeCuOs | PBE-GGA | relaxed

Unit cell a=4.2139 b=4.2139 c=4.2139 alpha=60.00 beta=60.00 gamma=60.00
With the nearest neighbours (Å) after each atom.
Atoms (fractional coordinates):
Cu1 0.7500 0.7500 0.7500  4 Fe 2.58, 4 Ga 2.58
Fe1 0.5000 0.5000 0.5000  4 Os 2.58, 4 Cu 2.58
Os1 0.2500 0.2500 0.2500  4 Fe 2.58, 4 Ga 2.58
Ga1 0.0000 0.0000 0.0000  4 Os 2.58, 4 Cu 2.58

## Properties
ΔE to the lowest computed polymorph: 0 meV per atom
DFT total energy: -25.9 eV per cell